(1)
# AcAlPdPt2 | Alexandria via LeMat-Bulk | PBE-GGA | relaxed
# - energy (eV/atom) = -5.911
# - Fermi-level density of states (states/eV per cell) = 5.640
# - formation energy (meV per atom) = -886
data_AcAlPdPt2
_cell_length_a 4.084
_cell_length_b 4.084
_cell_length_c 12.442
_cell_angle_alpha 90.00
_cell_angle_beta 90.00
_cell_angle_gamma 90.00
_space_group_name_H-M_alt 'I -4 m 2'
_space_group_IT_number 119
_space_group_name_Hall 'I -4 -2'
loop_
_atom_site_label
_atom_site_type_symbol
_atom_site_fract_x
_atom_site_fract_y
_atom_site_fract_z
_atom_site_occupancy
Ac1 Ac 0.000 0.000 0.000 1
Al1 Al 0.000 0.500 0.250 1
Pd1 Pd 0.000 0.500 0.750 1
Pt1 Pt 0.000 0.000 0.390 1

(2)
# Pu2AlHg3 | Alexandria via LeMat-Bulk | PBE-GGA | relaxed
# - energy (eV/atom) = -5.730
# - Fermi-level density of states (states/eV per cell) = 139.250
# - formation energy (meV per atom) = -178
data_Pu2AlHg3
_cell_length_a 6.229
_cell_length_b 10.103
_cell_length_c 17.556
_cell_angle_alpha 90.00
_cell_angle_beta 90.00
_cell_angle_gamma 90.00
_space_group_name_H-M_alt 'F m m m'
_space_group_IT_number 69
_space_group_name_Hall '-F 2 2'
loop_
_atom_site_label
_atom_site_type_symbol
_atom_site_fract_x
_atom_site_fract_y
_atom_site_fract_z
_atom_site_occupancy
Pu1 Pu 0.242 0.000 0.000 1
Pu2 Pu 0.250 0.250 0.250 1
Al1 Al 0.000 0.000 0.334 1
Hg1 Hg 0.000 0.000 0.171 1
Hg2 Hg 0.000 0.241 0.415 1

(3)
# BaSmTlBr6 | Alexandria via LeMat-Bulk | PBE-GGA | relaxed
# - energy (eV/atom) = -3.871
# - Fermi-level density of states (states/eV per cell) = 0.000
# - E_form (uncorrected) (eV per atom) = -1.7543
data_BaSmTlBr6
_cell_length_a 8.0295
_cell_length_b 8.0295
_cell_length_c 13.7431
_cell_angle_alpha 90.00
_cell_angle_beta 90.00
_cell_angle_gamma 120.00
_space_group_name_H-M_alt 'P -3 1 c'
_space_group_IT_number 163
_space_group_name_Hall '-P 3 2c'
loop_
_atom_site_label
_atom_site_type_symbol
_atom_site_fract_x
_atom_site_fract_y
_atom_site_fract_z
_atom_site_occupancy
Ba1 Ba 0.3333 0.6667 0.2500 1
Sm1 Sm 0.3333 0.6667 0.7500 1
Tl1 Tl 0.0000 0.0000 0.0000 1
Br1 Br 0.0350 0.3768 0.6302 1

(4)
# Zn2OsRh2 | Alexandria via LeMat-Bulk | PBE-GGA | relaxed
# - energy (eV/atom) = -5.588
# - Fermi-level density of states (states/eV per cell) = 7.885
# - formation energy (meV per atom) = 109
data_Zn2OsRh2
_cell_length_a 7.068
_cell_length_b 7.068
_cell_length_c 2.818
_cell_angle_alpha 90.00
_cell_angle_beta 90.00
_cell_angle_gamma 90.00
_space_group_name_H-M_alt 'P 4/m b m'
_space_group_IT_number 127
_space_group_name_Hall '-P 4 2ab'
loop_
_atom_site_label
_atom_site_type_symbol
_atom_site_fract_x
_atom_site_fract_y
_atom_site_fract_z
_atom_site_occupancy
Zn1 Zn 0.122 0.378 0.000 1
Os1 Os 0.000 0.000 0.000 1
Rh1 Rh 0.179 0.679 0.500 1

(5)
# Cs2RbTlCd2 | Alexandria via LeMat-Bulk | PBE-GGA | relaxed
# - energy (eV/atom) = -1.173
# - Fermi-level density of states (states/eV per cell) = 4.819
# - formation energy (meV per atom) = -27
data_Cs2RbTlCd2
_cell_length_a 6.116
_cell_length_b 10.245
_cell_length_c 9.389
_cell_angle_alpha 90.00
_cell_angle_beta 90.00
_cell_angle_gamma 90.00
_space_group_name_H-M_alt 'P m c 21'
_space_group_IT_number 26
loop_
_space_group_symop_operation_xyz
'x,y,z'
'-x,-y,z+1/2'
'-x,y,z'
'x,-y,z+1/2'
loop_
_atom_site_label
_atom_site_type_symbol
_atom_site_fract_x
_atom_site_fract_y
_atom_site_fract_z
_atom_site_occupancy
Cs1 Cs 0.000 0.146 0.000 1
Cs2 Cs 0.500 0.159 0.632 1
Rb1 Rb 0.000 0.472 0.686 1
Tl1 Tl 0.500 0.297 0.250 1
Cd1 Cd 0.000 0.225 0.389 1
Cd2 Cd 0.500 0.451 0.955 1

(6)
# Si2PW | Alexandria via LeMat-Bulk | PBE-GGA | relaxed
# - energy (eV/atom) = -7.112
# - Fermi-level density of states (states/eV per cell) = 2.735
# - E_form (uncorrected) (eV per atom) = 0.1901
data_Si2PW
_cell_length_a 3.246
_cell_length_b 4.427
_cell_length_c 7.704
_cell_angle_alpha 90.00
_cell_angle_beta 90.00
_cell_angle_gamma 90.00
_space_group_name_H-M_alt 'I m m 2'
_space_group_IT_number 44
loop_
_space_group_symop_operation_xyz
'x,y,z'
'-x,-y,z'
'-x,y,z'
'x,-y,z'
'x+1/2,y+1/2,z+1/2'
'-x+1/2,-y+1/2,z+1/2'
'-x+1/2,y+1/2,z+1/2'
'x+1/2,-y+1/2,z+1/2'
loop_
_atom_site_label
_atom_site_type_symbol
_atom_site_fract_x
_atom_site_fract_y
_atom_site_fract_z
_atom_site_occupancy
Si1 Si 0.000 0.000 0.000 1
Si2 Si 0.000 0.500 0.273 1
P1 P 0.000 0.000 0.554 1
W1 W 0.000 0.500 0.773 1